1.
Ho3Al12Os4 | Alexandria | PBE | relaxed; ΔE_f = -0.592 eV/atom; space-group type = No. 194
1.0
8.793 0.000 0.000
-4.397 7.615 0.000
0.000 0.000 9.598
Ho Al Os
6 24 8
Cartesian
0.000 2.955 2.399
-1.837 6.138 2.399
2.559 1.478 7.198
1.837 6.138 2.399
6.234 1.478 7.198
4.397 4.660 7.198
0.000 0.000 2.399
0.000 0.000 7.198
-1.384 4.278 7.198
0.000 2.491 5.524
0.000 2.491 8.873
-2.239 6.370 5.524
-2.239 6.370 8.873
2.157 1.246 0.725
2.157 1.246 4.074
0.000 5.077 0.189
0.000 5.077 4.610
1.384 4.278 7.198
0.000 6.675 7.198
4.397 0.940 2.399
3.013 3.337 2.399
4.397 2.538 4.988
4.397 2.538 9.409
2.239 6.370 5.524
2.239 6.370 8.873
6.636 1.246 0.725
6.636 1.246 4.074
4.397 5.124 0.725
4.397 5.124 4.074
5.781 3.337 2.399
0.000 0.000 0.000
0.000 0.000 4.799
-2.198 3.808 0.000
-2.198 3.808 4.799
4.397 0.000 0.000
4.397 0.000 4.799
2.198 3.808 0.000
2.198 3.808 4.799

2.
Zr2As2Rh | Alexandria | PBE | relaxed; ΔE_f = -0.820 eV/atom; space-group type = No. 127
1.0
6.977 0.000 0.000
0.000 6.977 0.000
0.000 0.000 3.728
Zr As Rh
4 4 2
Cartesian
1.111 2.377 0.000
2.377 5.866 0.000
4.600 1.111 0.000
5.866 4.600 0.000
1.033 4.521 1.864
2.456 1.033 1.864
4.521 5.944 1.864
5.944 2.456 1.864
0.000 0.000 1.864
3.489 3.489 1.864

3.
AcInIO | Alexandria | PBE | relaxed; uncorrected formation energy = -1.95 eV/atom; space-group type = No. 129
1.0
4.291 0.000 0.000
0.000 4.291 0.000
0.000 0.000 15.453
Ac In I O
2 2 2 2
Cartesian
1.073 1.073 1.258
3.218 3.218 14.194
1.073 3.218 7.726
3.218 1.073 7.726
1.073 1.073 12.251
3.218 3.218 3.201
1.073 3.218 0.000
3.218 1.073 0.000

4.
Y2CdSe2 | Alexandria | PBE | relaxed; uncorrected formation energy = -1.16 eV/atom; space-group type = No. 127; energy relative to the lowest polymorph listed for this composition = 0 meV per atom
1.0
8.113 0.000 0.000
0.000 8.113 0.000
0.000 0.000 3.637
Y Cd Se
4 2 4
Cartesian
1.279 2.778 0.000
2.778 6.834 0.000
5.335 1.279 0.000
6.834 5.335 0.000
0.000 0.000 1.818
4.056 4.056 1.818
1.129 5.185 1.818
2.928 1.129 1.818
5.185 6.984 1.818
6.984 2.928 1.818

| no. | E_tot (eV per cell) | total magnetization (μB per formula unit) | calculated volume (Å³/cell) |
| --- | --- | --- | --- |
| 1 | -229.63 | 0.00 | 642.68 |
| 2 | -75.69 | 0.00 | 181.49 |
| 3 | -42.33 | 0.00 | 284.56 |
| 4 | -53.27 | 0.00 | 239.37 |